[1]
Density functional theory data (PBE) for PrNdInIr after structural relaxation.

For the calculated volume, the calculation gives 25.76 Å³/atom. As for the magnetization: 0.0 μB per formula unit. For the energy relative to the elements, the calculation gives -0.39 eV/atom. Its density of states at the Fermi level is 3.582 states/eV/f.u.

The structure belongs to space group F-43m (No. 216); the cell edges are 7.4423, 7.4423 and 7.4423 Å and the angles 90.00°, 90.00° and 90.00°. The distinct sites, in fractional coordinates, are Pr at (0.0000, 0.0000, 0.0000), Nd at (0.0000, 0.0000, 0.5000), In at (0.2500, 0.2500, 0.2500) and Ir at (0.2500, 0.2500, 0.7500).

***

[2]
Density functional theory data (PBE) for Nd2InIr2Rh5 after structural relaxation.

For the calculated volume, the calculation gives 18.56 Å³/atom. As for the magnetization: 0.0 μB per formula unit. For the energy relative to the elements, the calculation gives -0.34 eV/atom. Its density of states at the Fermi level is 12.688 states/eV/f.u.

The structure belongs to space group P4/mbm (No. 127); the cell edges are 9.5438, 9.5438 and 4.0762 Å and the angles 90.00°, 90.00° and 90.00°. The distinct sites, in fractional coordinates, are Nd at (0.1684, 0.3316, 0.0000), In at (0.0000, 0.0000, 0.0000), Ir at (0.1293, 0.6293, 0.0000), Rh at (0.0000, 0.5000, 0.5000) and Rh at (0.0691, 0.7935, 0.5000).

***

[3]
Density functional theory data (PBE) for NdInIrRh after structural relaxation.

For the calculated volume, the calculation gives 19.62 Å³/atom. As for the magnetization: 0.0 μB per formula unit. For the energy relative to the elements, the calculation gives -0.46 eV/atom. Its density of states at the Fermi level is 1.370 states/eV/f.u.

The structure belongs to space group F-43m (No. 216); the cell edges are 6.7964, 6.7964 and 6.7964 Å and the angles 90.00°, 90.00° and 90.00°. The distinct sites, in fractional coordinates, are Nd at (0.0000, 0.0000, 0.0000), In at (0.0000, 0.0000, 0.5000), Ir at (0.2500, 0.2500, 0.7500) and Rh at (0.2500, 0.2500, 0.2500).

***

[4]
Density functional theory data (PBE) for NdSmInIr after structural relaxation.

For the calculated volume, the calculation gives 25.03 Å³/atom. As for the magnetization: 0.0 μB per formula unit. For the energy relative to the elements, the calculation gives -0.43 eV/atom. Its density of states at the Fermi level is 3.562 states/eV/f.u.

The structure belongs to space group F-43m (No. 216); the cell edges are 7.3713, 7.3713 and 7.3713 Å and the angles 90.00°, 90.00° and 90.00°. The distinct sites, in fractional coordinates, are Nd at (0.0000, 0.0000, 0.0000), Sm at (0.0000, 0.0000, 0.5000), In at (0.2500, 0.2500, 0.7500) and Ir at (0.2500, 0.2500, 0.2500).

***

[5]
Density functional theory data (PBE) for Nd2InSn3Ir4 after structural relaxation.

For the calculated volume, the calculation gives 21.90 Å³/atom. As for the magnetization: 0.0 μB per formula unit. For the energy relative to the elements, the calculation gives -0.51 eV/atom. Its density of states at the Fermi level is 7.386 states/eV/f.u.

The structure belongs to space group P-4m2 (No. 115); the cell edges are 4.4357, 4.4357 and 11.1311 Å and the angles 90.00°, 90.00° and 90.00°. The distinct sites, in fractional coordinates, are Nd at (0.0000, 0.5000, 0.2468), In at (0.0000, 0.0000, 0.5000), Sn at (0.0000, 0.5000, 0.8698), Sn at (0.5000, 0.5000, 0.5000), Ir at (0.0000, 0.0000, 0.0000), Ir at (0.0000, 0.5000, 0.6380) and Ir at (0.5000, 0.5000, 0.0000).

***

[6]
Density functional theory data (PBE) for TbNdInIr after structural relaxation.

For the calculated volume, the calculation gives 24.46 Å³/atom. As for the magnetization: 0.0 μB per formula unit. For the energy relative to the elements, the calculation gives -0.46 eV/atom. Its density of states at the Fermi level is 3.552 states/eV/f.u.

The structure belongs to space group F-43m (No. 216); the cell edges are 7.3145, 7.3145 and 7.3145 Å and the angles 90.00°, 90.00° and 90.00°. The distinct sites, in fractional coordinates, are Tb at (0.0000, 0.0000, 0.0000), Nd at (0.0000, 0.0000, 0.5000), In at (0.2500, 0.2500, 0.2500) and Ir at (0.2500, 0.2500, 0.7500).